## one
Na5Tl2Hg | GGA-PBE | relaxed

Properties
magnetic moment	0.00	Bohr magnetons per cell
mass density	5.3	Mg/m³

Cell and atoms, written as CIF:
```
data_Na5Tl2Hg
_chemical_formula_sum 'Na10 Tl4 Hg2'
_cell_length_a 6.9404
_cell_length_b 11.4853
_cell_length_c 6.7083
_cell_angle_alpha 90.00
_cell_angle_beta 121.13
_cell_angle_gamma 90.00
_space_group_name_H-M_alt 'C 1 m 1'
_space_group_IT_number 8
_space_group_name_Hall 'C -2y'
loop_
_atom_site_label
_atom_site_type_symbol
_atom_site_fract_x
_atom_site_fract_y
_atom_site_fract_z
Na1 Na 0.0000 0.0000 0.0000
Na2 Na 0.0013 0.5000 0.0024
Na3 Na 0.2502 0.2505 0.5003
Na4 Na 0.4988 0.0000 0.5013
Tl1 Tl 0.2508 0.2500 0.0001
Hg1 Hg 0.0011 0.0000 0.5014
```

## two
Na5Tl2Hg | GGA-PBE | relaxed

Properties
magnetic moment	0.00	Bohr magnetons per cell
mass density	5.2	Mg/m³

Cell and atoms, written as CIF:
```
data_Na5Tl2Hg
_chemical_formula_sum 'Na10 Tl4 Hg2'
_cell_length_a 6.7185
_cell_length_b 12.6755
_cell_length_c 5.4563
_cell_angle_alpha 90.00
_cell_angle_beta 90.00
_cell_angle_gamma 90.00
_space_group_name_H-M_alt 'P b a m'
_space_group_IT_number 55
_space_group_name_Hall '-P 2 2ab'
loop_
_atom_site_label
_atom_site_type_symbol
_atom_site_fract_x
_atom_site_fract_y
_atom_site_fract_z
Na1 Na 0.0000 0.0000 0.0000
Na2 Na 0.1319 0.3850 0.5000
Na3 Na 0.1538 0.7372 0.0000
Tl1 Tl 0.1204 0.1254 0.5000
Hg1 Hg 0.0000 0.5000 0.0000
```

two wins, 0.017 eV/atom ahead of the next structure.

## one
Na2TlHg4 | GGA-PBE | relaxed

Properties
magnetic moment	0.00	Bohr magnetons per cell
mass density	6.6	Mg/m³

Cell and atoms, written as CIF:
```
data_Na2TlHg4
_chemical_formula_sum 'Na4 Tl2 Hg8'
_cell_length_a 5.7236
_cell_length_b 5.7236
_cell_length_c 16.1454
_cell_angle_alpha 90.00
_cell_angle_beta 90.00
_cell_angle_gamma 90.00
_space_group_name_H-M_alt 'I 4/m m m'
_space_group_IT_number 139
_space_group_name_Hall '-I 4 2'
loop_
_atom_site_label
_atom_site_type_symbol
_atom_site_fract_x
_atom_site_fract_y
_atom_site_fract_z
Na1 Na 0.0000 0.0000 0.1103
Tl1 Tl 0.0000 0.0000 0.5000
Hg1 Hg 0.0000 0.0000 0.2975
Hg2 Hg 0.0000 0.5000 0.0000
```

## two
Na2TlHg4 | GGA-PBE | relaxed

Properties
magnetic moment	0.00	Bohr magnetons per cell
mass density	9.0	Mg/m³

Cell and atoms, written as CIF:
```
data_Na2TlHg4
_chemical_formula_sum 'Na8 Tl4 Hg16'
_cell_length_a 6.6013
_cell_length_b 10.8036
_cell_length_c 10.8428
_cell_angle_alpha 90.00
_cell_angle_beta 90.00
_cell_angle_gamma 90.00
_space_group_name_H-M_alt 'F m m m'
_space_group_IT_number 69
_space_group_name_Hall '-F 2 2'
loop_
_atom_site_label
_atom_site_type_symbol
_atom_site_fract_x
_atom_site_fract_y
_atom_site_fract_z
Na1 Na 0.2500 0.2500 0.2500
Tl1 Tl 0.0000 0.0000 0.0000
Hg1 Hg 0.0000 0.0000 0.2988
Hg2 Hg 0.0000 0.1989 0.5000
```

two wins, 0.184 eV/atom ahead of the next structure.

## one
NaTl3Hg7 | GGA-PBE | relaxed

Properties
magnetic moment	0.00	Bohr magnetons per cell
mass density	10.0	Mg/m³

Cell and atoms, written as CIF:
```
data_NaTl3Hg7
_chemical_formula_sum 'Na2 Tl6 Hg14'
_cell_length_a 9.4108
_cell_length_b 11.6869
_cell_length_c 6.4877
_cell_angle_alpha 90.00
_cell_angle_beta 109.03
_cell_angle_gamma 90.00
_space_group_name_H-M_alt 'C 1 2/m 1'
_space_group_IT_number 12
_space_group_name_Hall '-C 2y'
loop_
_atom_site_label
_atom_site_type_symbol
_atom_site_fract_x
_atom_site_fract_y
_atom_site_fract_z
Na1 Na 0.0000 0.0000 0.0000
Tl1 Tl 0.0000 0.2657 0.5000
Tl2 Tl 0.0000 0.5000 0.0000
Hg1 Hg 0.0000 0.0000 0.5000
Hg2 Hg 0.1693 0.2574 0.1609
Hg3 Hg 0.1957 0.5000 0.6253
```

## two
NaTl3Hg7 | GGA-PBE | relaxed

Properties
magnetic moment	0.00	Bohr magnetons per cell
mass density	10.8	Mg/m³

Cell and atoms, written as CIF:
```
data_NaTl3Hg7
_chemical_formula_sum 'Na4 Tl12 Hg28'
_cell_length_a 3.3903
_cell_length_b 33.6316
_cell_length_c 11.0213
_cell_angle_alpha 90.00
_cell_angle_beta 90.00
_cell_angle_gamma 90.00
_space_group_name_H-M_alt 'C m c m'
_space_group_IT_number 63
_space_group_name_Hall '-C 2c 2'
loop_
_atom_site_label
_atom_site_type_symbol
_atom_site_fract_x
_atom_site_fract_y
_atom_site_fract_z
Na1 Na 0.0000 0.0932 0.2500
Tl1 Tl 0.0000 0.0685 0.6013
Tl2 Tl 0.0000 0.1989 0.2500
Hg1 Hg 0.0000 0.2778 0.0891
Hg2 Hg 0.0000 0.3540 0.2500
Hg3 Hg 0.0000 0.3587 0.5458
Hg4 Hg 0.0000 0.4782 0.6187
```

two wins, 0.013 eV/atom ahead of the next structure.

## one
NaTl2Hg7 | GGA-PBE | relaxed

Properties
magnetic moment	0.00	Bohr magnetons per cell
mass density	10.0	Mg/m³

Cell and atoms, written as CIF:
```
data_NaTl2Hg7
_chemical_formula_sum 'Na1 Tl2 Hg7'
_cell_length_a 5.3428
_cell_length_b 5.3428
_cell_length_c 12.3087
_cell_angle_alpha 90.00
_cell_angle_beta 90.00
_cell_angle_gamma 120.00
_space_group_name_H-M_alt 'P 3 m 1'
_space_group_IT_number 156
_space_group_name_Hall 'P 3 -2"'
loop_
_atom_site_label
_atom_site_type_symbol
_atom_site_fract_x
_atom_site_fract_y
_atom_site_fract_z
Na1 Na 0.0000 0.0000 0.0000
Tl1 Tl 0.3333 0.6667 0.6554
Tl2 Tl 0.6667 0.3333 0.3550
Hg1 Hg 0.0000 0.0000 0.2556
Hg2 Hg 0.0000 0.0000 0.7403
Hg3 Hg 0.3333 0.6667 0.3927
Hg4 Hg 0.3333 0.6667 0.9494
Hg5 Hg 0.6667 0.3333 0.1038
Hg6 Hg 0.6667 0.3333 0.6016
Hg7 Hg 0.6667 0.3333 0.8575
```

## two
NaTl2Hg7 | GGA-PBE | relaxed

Properties
magnetic moment	0.00	Bohr magnetons per cell
mass density	11.0	Mg/m³

Cell and atoms, written as CIF:
```
data_NaTl2Hg7
_chemical_formula_sum 'Na2 Tl4 Hg14'
_cell_length_a 6.1918
_cell_length_b 27.1025
_cell_length_c 3.3037
_cell_angle_alpha 90.00
_cell_angle_beta 90.00
_cell_angle_gamma 90.00
_space_group_name_H-M_alt 'C m m m'
_space_group_IT_number 65
_space_group_name_Hall '-C 2 2'
loop_
_atom_site_label
_atom_site_type_symbol
_atom_site_fract_x
_atom_site_fract_y
_atom_site_fract_z
Na1 Na 0.0000 0.0000 0.0000
Tl1 Tl 0.0000 0.2946 0.5000
Hg1 Hg 0.0000 0.1891 0.0000
Hg2 Hg 0.0000 0.5000 0.5000
Hg3 Hg 0.2461 0.0966 0.5000
```

two wins, 0.017 eV/atom ahead of the next structure.

## one
Na12TlHg7 | GGA-PBE | relaxed

Properties
magnetic moment	0.00	Bohr magnetons per cell
mass density	5.4	Mg/m³

Cell and atoms, written as CIF:
```
data_Na12TlHg7
_chemical_formula_sum 'Na36 Tl3 Hg21'
_cell_length_a 14.1991
_cell_length_b 14.1991
_cell_length_c 9.9051
_cell_angle_alpha 90.00
_cell_angle_beta 90.00
_cell_angle_gamma 120.00
_space_group_name_H-M_alt 'R -3'
_space_group_IT_number 148
_space_group_name_Hall '-R 3'
loop_
_atom_site_label
_atom_site_type_symbol
_atom_site_fract_x
_atom_site_fract_y
_atom_site_fract_z
Na1 Na 0.0354 0.8589 0.2362
Na2 Na 0.0392 0.7883 0.5780
Tl1 Tl 0.0000 0.0000 0.0000
Hg1 Hg 0.0000 0.0000 0.5000
Hg2 Hg 0.0715 0.8142 0.9278
```

## two
Na12TlHg7 | GGA-PBE | relaxed

Properties
magnetic moment	0.00	Bohr magnetons per cell
mass density	5.5	Mg/m³

Cell and atoms, written as CIF:
```
data_Na12TlHg7
_chemical_formula_sum 'Na36 Tl3 Hg21'
_cell_length_a 14.4843
_cell_length_b 14.4843
_cell_length_c 9.4736
_cell_angle_alpha 90.00
_cell_angle_beta 90.00
_cell_angle_gamma 120.00
_space_group_name_H-M_alt 'R -3'
_space_group_IT_number 148
_space_group_name_Hall '-R 3'
loop_
_atom_site_label
_atom_site_type_symbol
_atom_site_fract_x
_atom_site_fract_y
_atom_site_fract_z
Na1 Na 0.0401 0.7978 0.4247
Na2 Na 0.0514 0.2522 0.9437
Tl1 Tl 0.0000 0.0000 0.0000
Hg1 Hg 0.0000 0.0000 0.5000
Hg2 Hg 0.0056 0.8501 0.7460
```

two wins, 0.010 eV/atom ahead of the next structure.

## one
Na3Tl3Hg | GGA-PBE | relaxed

Properties
magnetic moment	0.00	Bohr magnetons per cell
mass density	7.1	Mg/m³

Cell and atoms, written as CIF:
```
data_Na3Tl3Hg
_chemical_formula_sum 'Na12 Tl12 Hg4'
_cell_length_a 13.9879
_cell_length_b 4.5805
_cell_length_c 12.8117
_cell_angle_alpha 90.00
_cell_angle_beta 90.00
_cell_angle_gamma 90.00
_space_group_name_H-M_alt 'P n m a'
_space_group_IT_number 62
_space_group_name_Hall '-P 2ac 2n'
loop_
_atom_site_label
_atom_site_type_symbol
_atom_site_fract_x
_atom_site_fract_y
_atom_site_fract_z
Na1 Na 0.0216 0.2500 0.1931
Na2 Na 0.1865 0.7500 0.5230
Na3 Na 0.2332 0.7500 0.8068
Tl1 Tl 0.0515 0.2500 0.4309
Tl2 Tl 0.0838 0.2500 0.9435
Tl3 Tl 0.1699 0.7500 0.1121
Hg1 Hg 0.0954 0.2500 0.6847
```

## two
Na3Tl3Hg | GGA-PBE | relaxed

Properties
magnetic moment	0.00	Bohr magnetons per cell
mass density	6.2	Mg/m³

Cell and atoms, written as CIF:
```
data_Na3Tl3Hg
_chemical_formula_sum 'Na6 Tl6 Hg2'
_cell_length_a 10.2050
_cell_length_b 5.2111
_cell_length_c 10.2132
_cell_angle_alpha 90.00
_cell_angle_beta 119.97
_cell_angle_gamma 90.00
_space_group_name_H-M_alt 'P 1 21/m 1'
_space_group_IT_number 11
_space_group_name_Hall '-P 2yb'
loop_
_atom_site_label
_atom_site_type_symbol
_atom_site_fract_x
_atom_site_fract_y
_atom_site_fract_z
Na1 Na 0.0556 0.2500 0.2752
Na2 Na 0.2765 0.7500 0.7210
Na3 Na 0.2801 0.7500 0.0565
Tl1 Tl 0.2680 0.7500 0.3836
Tl2 Tl 0.3831 0.2500 0.6151
Tl3 Tl 0.3851 0.2500 0.2688
Hg1 Hg 0.1671 0.2500 0.8342
```

one wins, 0.056 eV/atom ahead of the next structure.